(1)
Entry from Alexandria via LeMat-Bulk: an optimized crystal structure of Y3AlGe3 (PBE).

The structure in POSCAR format:
```
Y3AlGe3
1.0
8.539 0.000 0.000
-4.269 7.395 0.000
0.000 0.000 5.877
Y Al Ge
6 2 6
Direct
0.059 0.366 0.250
0.307 0.941 0.250
0.366 0.307 0.750
0.634 0.693 0.250
0.693 0.059 0.750
0.941 0.634 0.750
0.333 0.667 0.750
0.667 0.333 0.250
0.056 0.361 0.750
0.304 0.944 0.750
0.361 0.304 0.250
0.639 0.696 0.750
0.696 0.056 0.250
0.944 0.639 0.250
```

## Properties
- VASP energy (eV/cell) = -82.43
- DFT formation energy (eV per atom) = -0.604
- calculated volume (Å³/cell) = 371
- symmetry = P6_3/m, No. 176

(2)
Entry from Alexandria via LeMat-Bulk: an optimized crystal structure of RuPtSN2 (PBE).

The structure in POSCAR format:
```
RuPtSN2
1.0
3.706 0.000 0.000
0.000 3.706 0.000
0.000 0.000 5.341
Ru Pt S N
1 1 1 2
Direct
0.000 0.000 0.000
0.500 0.500 0.500
0.000 0.000 0.500
0.000 0.500 0.000
0.500 0.000 0.000
```

## Properties
- uncorrected formation energy (eV/atom) = 1.008
- VASP energy (eV/cell) = -31.05
- calculated volume (Å³/cell) = 73
- symmetry = P4/mmm, No. 123

(3)
Entry from Alexandria via LeMat-Bulk: an optimized crystal structure of TbNdDy2N4 (PBE).

The structure in POSCAR format:
```
TbNdDy2N4
1.0
6.106 0.000 0.000
0.000 3.526 0.000
-2.031 0.000 5.759
Tb Nd Dy N
1 1 2 4
Direct
0.000 0.000 0.000
0.500 0.500 0.000
0.000 0.500 0.500
0.500 0.000 0.500
0.243 0.000 0.742
0.247 0.500 0.255
0.753 0.500 0.745
0.757 0.000 0.258
```

## Properties
- uncorrected formation energy (eV/atom) = -1.590
- VASP energy (eV/cell) = -64.62
- calculated volume (Å³/cell) = 124
- symmetry = P2/m, No. 10

(4)
Entry from Alexandria via LeMat-Bulk: an optimized crystal structure of CsSiP3 (PBE).

The structure in POSCAR format:
```
CsSiP3
1.0
5.387 0.000 0.000
0.000 5.387 0.000
0.000 0.000 5.387
Cs Si P
1 1 3
Direct
0.000 0.000 0.000
0.500 0.500 0.500
0.000 0.000 0.500
0.000 0.500 0.000
0.500 0.000 0.000
```

## Properties
- uncorrected formation energy (eV/atom) = 2.370
- VASP energy (eV/cell) = -10.65
- calculated volume (Å³/cell) = 156
- symmetry = Pm-3m, No. 221

(5)
Entry from Alexandria via LeMat-Bulk: an optimized crystal structure of BaZrAu (PBE).

The structure in POSCAR format:
```
BaZrAu
1.0
4.688 0.000 0.000
-2.344 4.060 0.000
0.000 0.000 5.239
Ba Zr Au
1 1 1
Direct
0.000 0.000 0.000
0.333 0.667 0.500
0.667 0.333 0.500
```

## Properties
- VASP energy (eV/cell) = -13.95
- DFT formation energy (eV per atom) = -0.067
- calculated volume (Å³/cell) = 100
- symmetry = P-6m2, No. 187

(6)
Entry from Alexandria via LeMat-Bulk: an optimized crystal structure of CaI3N (PBE).

The structure in POSCAR format:
```
CaI3N
1.0
8.546 0.000 0.000
0.000 8.235 0.000
-5.749 0.000 14.315
Ca I N
4 12 4
Direct
0.088 0.248 0.039
0.088 0.252 0.539
0.912 0.748 0.461
0.912 0.752 0.961
0.001 0.547 0.140
0.001 0.953 0.640
0.231 0.561 0.481
0.231 0.939 0.981
0.405 0.698 0.268
0.405 0.802 0.768
0.595 0.198 0.232
0.595 0.302 0.732
0.769 0.061 0.019
0.769 0.439 0.519
0.999 0.047 0.360
0.999 0.453 0.860
0.366 0.247 0.655
0.366 0.253 0.155
0.634 0.747 0.845
0.634 0.753 0.345
```

## Properties
- uncorrected formation energy (eV/atom) = -0.244
- VASP energy (eV/cell) = -64.79
- calculated volume (Å³/cell) = 1007
- symmetry = P2_1/c, No. 14